Model i:
Below is an optimized crystal structure of Ag2PdCl4, with properties calculated at the PBE level.

Cell: 6.518 6.518 8.255 Å, 90.00 90.00 79.50°
Sites, in units of the cell vectors:
Ag: 0.031 0.469 0.250
Ag: 0.469 0.031 0.750
Ag: 0.531 0.969 0.250
Ag: 0.969 0.531 0.750
Pd: 0.000 0.000 0.000
Pd: 0.500 0.500 0.500
Cl: 0.198 0.802 0.200
Cl: 0.232 0.232 0.000
Cl: 0.268 0.268 0.500
Cl: 0.302 0.698 0.700
Cl: 0.698 0.302 0.300
Cl: 0.732 0.732 0.500
Cl: 0.768 0.768 0.000
Cl: 0.802 0.198 0.800

Properties
M_tot, μB/cell: 0.0

Model ii:
Below is an optimized crystal structure of Ag2PdCl4, with properties calculated at the PBE level.

Cell: 6.099 5.870 6.748 Å, 57.31 54.09 68.60°
Sites, in units of the cell vectors:
Ag: 0.000 0.000 0.500
Ag: 0.500 0.500 0.000
Pd: 0.262 0.262 0.738
Cl: 0.051 0.549 0.949
Cl: 0.461 0.992 0.008
Cl: 0.549 0.051 0.451
Cl: 0.992 0.461 0.539

Properties
M_tot, μB/cell: 0.0

The most stable of them is model i.

Model i:
Below is an optimized crystal structure of Ag2Pd2Cl7, with properties calculated at the PBE level.

Cell: 8.920 8.920 7.712 Å, 94.28 94.28 101.51°
Sites, in units of the cell vectors:
Ag: 0.051 0.683 0.646
Ag: 0.317 0.949 0.854
Ag: 0.683 0.051 0.146
Ag: 0.949 0.317 0.354
Pd: 0.246 0.400 0.745
Pd: 0.400 0.246 0.245
Pd: 0.600 0.754 0.755
Pd: 0.754 0.600 0.255
Cl: 0.016 0.691 0.326
Cl: 0.162 0.286 0.145
Cl: 0.200 0.615 0.906
Cl: 0.286 0.162 0.645
Cl: 0.309 0.984 0.174
Cl: 0.385 0.800 0.594
Cl: 0.489 0.511 0.250
Cl: 0.511 0.489 0.750
Cl: 0.615 0.200 0.406
Cl: 0.691 0.016 0.826
Cl: 0.714 0.838 0.355
Cl: 0.800 0.385 0.094
Cl: 0.838 0.714 0.855
Cl: 0.984 0.309 0.674

Properties
M_tot, μB/cell: 0.0

Model ii:
Below is an optimized crystal structure of Ag2Pd2Cl7, with properties calculated at the PBE level.

Cell: 6.458 6.458 8.040 Å, 91.44 91.44 108.45°
Sites, in units of the cell vectors:
Ag: 0.238 0.762 0.000
Ag: 0.762 0.238 0.000
Pd: 0.201 0.201 0.396
Pd: 0.799 0.799 0.604
Cl: 0.091 0.426 0.186
Cl: 0.105 0.105 0.679
Cl: 0.426 0.091 0.186
Cl: 0.500 0.500 0.500
Cl: 0.574 0.909 0.814
Cl: 0.895 0.895 0.321
Cl: 0.909 0.574 0.814

Properties
M_tot, μB/cell: 1.1

The most stable of them is model i.